[1]
# Zr5Ir3 | the Alexandria database | PBE | relaxed
data_Zr5Ir3
_chemical_formula_sum 'Zr40 Ir24'
_cell_length_a 5.571
_cell_length_b 14.963
_cell_length_c 15.006
_cell_angle_alpha 90.00
_cell_angle_beta 90.00
_cell_angle_gamma 90.00
_symmetry_space_group_name_H-M 'F m m m'
_symmetry_Int_Tables_number 69
_symmetry_space_group_name_Hall '-F 2 2'
loop_
_atom_site_label
_atom_site_fract_x
_atom_site_fract_y
_atom_site_fract_z
Zr1 0.000 0.103 0.181
Zr2 0.000 0.181 0.397
Zr3 0.250 0.000 0.000
Ir1 0.000 0.000 0.334
Ir2 0.000 0.167 0.000
Ir3 0.250 0.250 0.250
# **Energy of formation**: -0.69 eV per atom
# **Spin magnetization**: 0.00 Bohr magnetons per cell
# **D(E_F)**: 69.391 states/eV per cell
# **Crystal system**: orthorhombic

---

[2]
# Na3Pr3GeO8 | the Alexandria database | PBE | relaxed
data_Na3Pr3GeO8
_chemical_formula_sum 'Na9 Pr9 Ge3 O24'
_cell_length_a 6.9893
_cell_length_b 6.9893
_cell_length_c 16.6879
_cell_angle_alpha 90.00
_cell_angle_beta 90.00
_cell_angle_gamma 120.00
_symmetry_space_group_name_H-M 'R -3 m'
_symmetry_Int_Tables_number 166
_symmetry_space_group_name_Hall '-R 3 2"'
loop_
_atom_site_label
_atom_site_fract_x
_atom_site_fract_y
_atom_site_fract_z
Na1 0.0000 0.5000 0.0000
Pr1 0.0000 0.5000 0.5000
Ge1 0.0000 0.0000 0.5000
O1 0.0000 0.0000 0.2394
O2 0.0532 0.5266 0.2321
# **Spin magnetization**: 0.00 Bohr magnetons per cell
# **E_form (uncorrected)**: -2335 meV per atom
# **Crystal system**: trigonal

---

[3]
# La5Pm4Pr | the Alexandria database | PBE | relaxed
data_La5Pm4Pr
_chemical_formula_sum 'La5 Pm4 Pr1'
_cell_length_a 3.723
_cell_length_b 3.723
_cell_length_c 25.977
_cell_angle_alpha 90.00
_cell_angle_beta 90.00
_cell_angle_gamma 90.00
_symmetry_space_group_name_H-M 'P 4/m m m'
_symmetry_Int_Tables_number 123
_symmetry_space_group_name_Hall '-P 4 2'
loop_
_atom_site_label
_atom_site_fract_x
_atom_site_fract_y
_atom_site_fract_z
La1 0.000 0.000 0.000
La2 0.000 0.000 0.199
La3 0.000 0.000 0.399
Pm1 0.500 0.500 0.100
Pm2 0.500 0.500 0.299
Pr1 0.500 0.500 0.500
# **Energy of formation**: 0.02 eV per atom
# **Spin magnetization**: 0.00 Bohr magnetons per cell
# **D(E_F)**: 19.449 states/eV per cell
# **Crystal system**: tetragonal

---

[4]
# In2Hg2BrCl | the Alexandria database | PBE | relaxed
data_In2Hg2BrCl
_chemical_formula_sum 'In4 Hg4 Br2 Cl2'
_cell_length_a 4.675
_cell_length_b 9.835
_cell_length_c 8.717
_cell_angle_alpha 90.00
_cell_angle_beta 90.00
_cell_angle_gamma 90.00
_symmetry_space_group_name_H-M 'P m c 21'
_symmetry_Int_Tables_number 26
_symmetry_space_group_name_Hall 'P 2c -2'
loop_
_atom_site_label
_atom_site_fract_x
_atom_site_fract_y
_atom_site_fract_z
In1 0.000 0.071 0.000
In2 0.500 0.321 0.543
Hg1 0.000 0.410 0.780
Hg2 0.500 0.326 0.029
Br1 0.000 0.224 0.350
Cl1 0.500 0.064 0.675
# **Spin magnetization**: 0.00 Bohr magnetons per cell
# **E_form (uncorrected)**: -464 meV per atom
# **Crystal system**: orthorhombic

---

[5]
# AsIrPdBr2 | the Alexandria database | PBE | relaxed
data_AsIrPdBr2
_chemical_formula_sum 'As1 Ir1 Pd1 Br2'
_cell_length_a 5.006
_cell_length_b 5.006
_cell_length_c 4.918
_cell_angle_alpha 90.00
_cell_angle_beta 90.00
_cell_angle_gamma 90.00
_symmetry_space_group_name_H-M 'P 4/m m m'
_symmetry_Int_Tables_number 123
_symmetry_space_group_name_Hall '-P 4 2'
loop_
_atom_site_label
_atom_site_fract_x
_atom_site_fract_y
_atom_site_fract_z
As1 0.000 0.000 0.000
Ir1 0.500 0.500 0.000
Pd1 0.000 0.000 0.500
Br1 0.000 0.500 0.500
# **Spin magnetization**: 2.22 Bohr magnetons per cell
# **E_form (uncorrected)**: 1163 meV per atom
# **D(E_F)**: 6.735 states/eV per cell
# **Crystal system**: tetragonal

---

[6]
# Rb3Er3SbSe8 | the Alexandria database | PBE | relaxed
data_Rb3Er3SbSe8
_chemical_formula_sum 'Rb9 Er9 Sb3 Se24'
_cell_length_a 8.2951
_cell_length_b 8.2951
_cell_length_c 24.4662
_cell_angle_alpha 90.00
_cell_angle_beta 90.00
_cell_angle_gamma 120.00
_symmetry_space_group_name_H-M 'R -3 m'
_symmetry_Int_Tables_number 166
_symmetry_space_group_name_Hall '-R 3 2"'
loop_
_atom_site_label
_atom_site_fract_x
_atom_site_fract_y
_atom_site_fract_z
Rb1 0.0000 0.5000 0.0000
Er1 0.0000 0.5000 0.5000
Sb1 0.0000 0.0000 0.5000
Se1 0.0000 0.0000 0.2310
Se2 0.0042 0.5021 0.2301
# **Spin magnetization**: 0.00 Bohr magnetons per cell
# **E_form (uncorrected)**: -1421 meV per atom
# **D(E_F)**: 6.417 states/eV per cell
# **Crystal system**: trigonal

---

[7]
# SmCrFeP2 | the Alexandria database | PBE | relaxed
data_SmCrFeP2
_chemical_formula_sum 'Sm2 Cr2 Fe2 P4'
_cell_length_a 3.893
_cell_length_b 3.893
_cell_length_c 10.017
_cell_angle_alpha 90.00
_cell_angle_beta 90.00
_cell_angle_gamma 90.00
_symmetry_space_group_name_H-M 'I -4 m 2'
_symmetry_Int_Tables_number 119
_symmetry_space_group_name_Hall 'I -4 -2'
loop_
_atom_site_label
_atom_site_fract_x
_atom_site_fract_y
_atom_site_fract_z
Sm1 0.000 0.000 0.000
Cr1 0.000 0.500 0.750
Fe1 0.000 0.500 0.250
P1 0.000 0.000 0.365
# **Energy of formation**: -0.86 eV per atom
# **Spin magnetization**: 3.72 Bohr magnetons per cell
# **D(E_F)**: 9.715 states/eV per cell
# **Crystal system**: tetragonal

---

[8]
# La2PmNd2Mg5 | the Alexandria database | PBE | relaxed
data_La2PmNd2Mg5
_chemical_formula_sum 'La4 Pm2 Nd4 Mg10'
_cell_length_a 10.770
_cell_length_b 10.770
_cell_length_c 5.220
_cell_angle_alpha 90.00
_cell_angle_beta 90.00
_cell_angle_gamma 90.00
_symmetry_space_group_name_H-M 'P 4/m b m'
_symmetry_Int_Tables_number 127
_symmetry_space_group_name_Hall '-P 4 2ab'
loop_
_atom_site_label
_atom_site_fract_x
_atom_site_fract_y
_atom_site_fract_z
La1 0.175 0.325 0.000
Pm1 0.000 0.000 0.000
Nd1 0.123 0.623 0.000
Mg1 0.000 0.500 0.500
Mg2 0.074 0.805 0.500
# **Energy of formation**: 0.00 eV per atom
# **Spin magnetization**: 0.00 Bohr magnetons per cell
# **D(E_F)**: 14.228 states/eV per cell
# **Crystal system**: tetragonal

---

[9]
# Li3Pt5 | the Alexandria database | PBE | relaxed
data_Li3Pt5
_chemical_formula_sum 'Li6 Pt10'
_cell_length_a 6.9847
_cell_length_b 6.9847
_cell_length_c 5.1537
_cell_angle_alpha 90.00
_cell_angle_beta 90.00
_cell_angle_gamma 120.00
_symmetry_space_group_name_H-M 'P 63/m c m'
_symmetry_Int_Tables_number 193
_symmetry_space_group_name_Hall '-P 6c 2'
loop_
_atom_site_label
_atom_site_fract_x
_atom_site_fract_y
_atom_site_fract_z
Li1 0.0000 0.4017 0.2500
Pt1 0.0000 0.2325 0.7500
Pt2 0.3333 0.6667 0.0000
# **Energy of formation**: -0.26 eV per atom
# **Spin magnetization**: 0.00 Bohr magnetons per cell
# **D(E_F)**: 17.596 states/eV per cell
# **Crystal system**: hexagonal

---

[10]
# YInCl2 | the Alexandria database | PBE | relaxed
data_YInCl2
_chemical_formula_sum 'Y3 In3 Cl6'
_cell_length_a 3.6953
_cell_length_b 3.6953
_cell_length_c 28.5126
_cell_angle_alpha 90.00
_cell_angle_beta 90.00
_cell_angle_gamma 120.00
_symmetry_space_group_name_H-M 'R 3 m'
_symmetry_Int_Tables_number 160
_symmetry_space_group_name_Hall 'R 3 -2"'
loop_
_atom_site_label
_atom_site_fract_x
_atom_site_fract_y
_atom_site_fract_z
Y1 0.0000 0.0000 0.0000
In1 0.0000 0.0000 0.7538
Cl1 0.0000 0.0000 0.2735
Cl2 0.0000 0.0000 0.4842
# **Spin magnetization**: 2.97 Bohr magnetons per cell
# **E_form (uncorrected)**: -1091 meV per atom
# **D(E_F)**: 6.092 states/eV per cell
# **Crystal system**: trigonal

---

[11]
# TaCd2Br | the Alexandria database | PBE | relaxed
data_TaCd2Br
_chemical_formula_sum 'Ta2 Cd4 Br2'
_cell_length_a 2.979
_cell_length_b 4.502
_cell_length_c 13.936
_cell_angle_alpha 90.00
_cell_angle_beta 90.00
_cell_angle_gamma 90.00
_symmetry_space_group_name_H-M 'I m m m'
_symmetry_Int_Tables_number 71
_symmetry_space_group_name_Hall '-I 2 2'
loop_
_atom_site_label
_atom_site_fract_x
_atom_site_fract_y
_atom_site_fract_z
Ta1 0.000 0.000 0.000
Cd1 0.000 0.500 0.307
Br1 0.000 0.000 0.500
# **Spin magnetization**: 0.00 Bohr magnetons per cell
# **E_form (uncorrected)**: 421 meV per atom
# **D(E_F)**: 5.817 states/eV per cell
# **Crystal system**: orthorhombic

---

[12]
# ErPu2Te4 | the Alexandria database | PBE | relaxed
data_ErPu2Te4
_chemical_formula_sum 'Er2 Pu4 Te8'
_cell_length_a 16.269
_cell_length_b 4.399
_cell_length_c 7.781
_cell_angle_alpha 90.00
_cell_angle_beta 117.74
_cell_angle_gamma 90.00
_symmetry_space_group_name_H-M 'C 1 2/m 1'
_symmetry_Int_Tables_number 12
_symmetry_space_group_name_Hall '-C 2y'
loop_
_atom_site_label
_atom_site_fract_x
_atom_site_fract_y
_atom_site_fract_z
Er1 0.000 0.000 0.000
Pu1 0.236 0.500 0.727
Te1 0.119 0.000 0.437
Te2 0.128 0.500 0.977
# **Spin magnetization**: 22.01 Bohr magnetons per cell
# **E_form (uncorrected)**: -1119 meV per atom
# **D(E_F)**: 49.387 states/eV per cell
# **Crystal system**: monoclinic